TcW: PBEsol geometry, SCAN.

total moment: 0.000 μB per atom
energy of formation from the pure elements: 36 meV per atom
polymorph energy (0 for the lowest one): 15 meV per atom
D(E_F): 0.873 states/eV per atom
VASP energy: -52.338 eV per atom

Structure (extended XYZ):
```
2
Lattice="3.0985 0.0000 0.0000 0.0000 3.0985 0.0000 0.0000 0.0000 3.0985" Properties=species:S:1:pos:R:3 pbc="T T T"
Tc 0.0000 0.0000 0.0000
W 1.5493 1.5493 1.5493
```